The following is a PBE calculation of a relaxed BaSrPrNbO6 crystal, from the Alexandria database.

E: -7.6971 eV per atom
M_tot: 0.000 Bohr magnetons per cell
crystal system: cubic
ΔE_f (raw): -2.8768 eV per atom

Unit cell a=8.706 b=8.706 c=8.706 alpha=90.00 beta=90.00 gamma=90.00
Space group F-43m (No. 216)
One atom of each set of equivalent atoms:
Ba  0.000  0.000  0.000 (multiplicity 4)
Sr  0.000  0.000  0.500 (multiplicity 4)
Pr  0.250  0.250  0.250 (multiplicity 4)
Nb  0.250  0.250  0.750 (multiplicity 4)
O  0.018  0.250  0.750 (multiplicity 24)



The following is a PBE calculation of a relaxed Cs3YI8 crystal, from the Alexandria database.

E: -2.8653 eV per atom
M_tot: 0.007 Bohr magnetons per cell
crystal system: tetragonal
ΔE_f (raw): -1.0799 eV per atom

Unit cell a=8.644 b=8.644 c=17.571 alpha=90.00 beta=90.00 gamma=90.00
Space group I4/mmm (No. 139)
One atom of each set of equivalent atoms:
Cs  0.000  0.000  0.000 (multiplicity 2)
Cs  0.000  0.500  0.250 (multiplicity 4)
Y  0.000  0.000  0.500 (multiplicity 2)
I  0.215  0.215  0.392 (multiplicity 16)



The following is a PBE calculation of a relaxed AcSmNi2 crystal, from the Alexandria database.

E: -5.3896 eV per atom
M_tot: 0.000 Bohr magnetons per cell
crystal system: monoclinic
DFT formation energy: -0.2921 eV per atom

Unit cell a=3.931 b=4.326 c=5.837 alpha=90.00 beta=109.54 gamma=90.00
Space group Pm (No. 6)
One atom of each set of equivalent atoms:
Ac  0.000  0.000  0.000 (multiplicity 1)
Sm  0.272  0.500  0.544 (multiplicity 1)
Ni  0.577  0.500  0.154 (multiplicity 1)
Ni  0.713  0.000  0.429 (multiplicity 1)



The following is a PBE calculation of a relaxed Pr7Sm4Hg crystal, from the Alexandria database.

E: -4.4271 eV per atom
M_tot: 0.000 Bohr magnetons per cell
crystal system: trigonal
DFT formation energy: -0.0409 eV per atom

Unit cell a=3.7018 b=3.7018 c=34.9849 alpha=90.00 beta=90.00 gamma=120.00
Space group P-3m1 (No. 164)
One atom of each set of equivalent atoms:
Pr  0.0000  0.0000  0.0000 (multiplicity 1)
Pr  0.0000  0.0000  0.2576 (multiplicity 2)
Pr  0.3333  0.6667  0.1706 (multiplicity 2)
Pr  0.3333  0.6667  0.4275 (multiplicity 2)
Sm  0.3333  0.6667  0.6569 (multiplicity 2)
Sm  0.3333  0.6667  0.9146 (multiplicity 2)
Hg  0.0000  0.0000  0.5000 (multiplicity 1)



The following is a PBE calculation of a relaxed NaSrAsSe2 crystal, from the Alexandria database.

E: -3.1730 eV per atom
M_tot: 0.000 Bohr magnetons per cell
crystal system: tetragonal
ΔE_f (raw): -0.2491 eV per atom

Unit cell a=5.275 b=5.275 c=4.979 alpha=90.00 beta=90.00 gamma=90.00
Space group P4/mmm (No. 123)
One atom of each set of equivalent atoms:
Na  0.000  0.000  0.000 (multiplicity 1)
Sr  0.500  0.500  0.500 (multiplicity 1)
As  0.000  0.000  0.500 (multiplicity 1)
Se  0.000  0.500  0.000 (multiplicity 2)



The following is a PBE calculation of a relaxed Ac2SnI2 crystal, from the Alexandria database.

E: -4.2549 eV per atom
M_tot: 0.000 Bohr magnetons per cell
crystal system: trigonal
ΔE_f (raw): -1.1909 eV per atom

Unit cell a=4.8456 b=4.8456 c=34.7928 alpha=90.00 beta=90.00 gamma=120.00
Space group R-3m (No. 166, hexagonal axes)
One atom of each set of equivalent atoms:
Ac  0.0000  0.0000  0.1138 (multiplicity 6)
Sn  0.0000  0.0000  0.5000 (multiplicity 3)
I  0.0000  0.0000  0.2774 (multiplicity 6)



The following is a PBE calculation of a relaxed Be2NiAs crystal, from the Alexandria database.

E: -4.4083 eV per atom
M_tot: 0.000 Bohr magnetons per cell
crystal system: monoclinic
DFT formation energy: 0.0625 eV per atom

Unit cell a=7.512 b=3.012 c=4.116 alpha=90.00 beta=96.71 gamma=90.00
Space group C2/m (No. 12)
One atom of each set of equivalent atoms:
Be  0.232  0.000  0.192 (multiplicity 4)
Ni  0.000  0.500  0.000 (multiplicity 2)
As  0.000  0.000  0.500 (multiplicity 2)



The following is a PBE calculation of a relaxed BaDyRu2O8 crystal, from the Alexandria database.

E: -7.0715 eV per atom
M_tot: 3.017 Bohr magnetons per cell
crystal system: trigonal
ΔE_f (raw): -1.6763 eV per atom

Unit cell a=5.9015 b=5.9015 c=7.6343 alpha=90.00 beta=90.00 gamma=120.00
Space group P-3 (No. 147)
One atom of each set of equivalent atoms:
Ba  0.0000  0.0000  0.0000 (multiplicity 1)
Dy  0.0000  0.0000  0.5000 (multiplicity 1)
Ru  0.3333  0.6667  0.7701 (multiplicity 2)
O  0.1617  0.3271  0.6963 (multiplicity 6)
O  0.3333  0.6667  0.0037 (multiplicity 2)



The following is a PBE calculation of a relaxed TmAlGaNi3 crystal, from the Alexandria database.

E: -5.0959 eV per atom
M_tot: 0.000 Bohr magnetons per cell
crystal system: orthorhombic
DFT formation energy: -0.3317 eV per atom

Unit cell a=6.005 b=11.789 c=5.312 alpha=90.00 beta=90.00 gamma=90.00
Space group Cmcm (No. 63)
One atom of each set of equivalent atoms:
Tm  0.000  0.200  0.250 (multiplicity 4)
Al  0.000  0.445  0.250 (multiplicity 4)
Ga  0.000  0.143  0.750 (multiplicity 4)
Ni  0.000  0.349  0.750 (multiplicity 4)
Ni  0.198  0.000  0.000 (multiplicity 8)



The following is a PBE calculation of a relaxed Ca2Al5Zn2 crystal, from the Alexandria database.

E: -2.9816 eV per atom
M_tot: 0.000 Bohr magnetons per cell
crystal system: tetragonal
DFT formation energy: -0.1745 eV per atom

Unit cell a=4.155 b=4.155 c=10.383 alpha=90.00 beta=90.00 gamma=90.00
Space group P4/mmm (No. 123)
One atom of each set of equivalent atoms:
Ca  0.000  0.000  0.000 (multiplicity 1)
Ca  0.000  0.000  0.500 (multiplicity 1)
Al  0.000  0.500  0.221 (multiplicity 4)
Al  0.500  0.500  0.000 (multiplicity 1)
Zn  0.500  0.500  0.381 (multiplicity 2)



Number 2 is which compound?
Cs3YI8